(1)
PBE Ba3YBi2O6, relaxed; Fermi-level density of states = 2.07 states/eV/f.u.
1.0
-0.701 -5.370 -2.939
0.509 0.108 6.140
-7.200 0.619 0.586
Bi O Ba Y
2 6 3 1
direct
0.667 0.333 0.877
0.333 0.667 0.123
0.172 0.828 0.320
0.344 0.172 0.680
0.828 0.656 0.680
0.172 0.344 0.320
0.828 0.172 0.680
0.656 0.828 0.320
0.000 0.000 0.000
0.333 0.667 0.626
0.667 0.333 0.374
0.000 0.000 0.500


(2)
PBE Ba3YBi2O9, relaxed; Fermi-level density of states = 2.78 states/eV/f.u.
1.0
-1.218 2.317 -5.625
3.083 -5.356 0.548
-6.578 -3.801 -0.141
Y O Ba Bi
1 9 3 2
direct
0.000 0.000 0.500
0.339 0.169 0.670
0.169 0.831 0.330
0.661 0.831 0.330
0.500 0.000 0.000
0.169 0.339 0.330
0.831 0.169 0.670
0.000 0.500 0.000
0.500 0.500 0.000
0.831 0.661 0.670
0.667 0.333 0.332
0.333 0.667 0.668
0.000 0.000 0.000
0.333 0.667 0.171
0.667 0.333 0.829


(3)
PBE Ba2YBi2O6, relaxed; Fermi-level density of states = 4.07 states/eV/f.u.
1.0
-0.668 6.466 -0.484
-4.447 -3.520 3.004
6.076 0.899 3.617
Ba Bi O Y
2 2 6 1
direct
0.708 0.416 0.136
0.292 0.584 0.864
0.934 0.868 0.734
0.066 0.132 0.266
0.178 0.843 0.223
0.294 0.589 0.499
0.335 0.157 0.777
0.822 0.157 0.777
0.665 0.843 0.223
0.706 0.411 0.501
0.500 0.000 0.500


(4)
PBE Ba2YBi3O8, relaxed; Fermi-level density of states = 0.61 states/eV/f.u.
1.0
4.397 0.000 0.000
0.000 4.397 0.000
0.000 0.000 13.646
O Y Bi Ba
8 1 3 2
direct
0.000 0.500 0.599
0.000 0.500 0.401
0.500 0.000 0.000
0.500 0.000 0.401
0.000 0.500 0.000
0.000 0.000 0.179
0.500 0.000 0.599
0.000 0.000 0.821
0.500 0.500 0.500
0.000 0.000 0.000
0.000 0.000 0.654
0.000 0.000 0.346
0.500 0.500 0.144
0.500 0.500 0.856


(5)
PBE Ba7ZnBi2O2, relaxed; Fermi-level density of states = 6.20 states/eV/f.u.
1.0
-2.121 -2.705 4.124
-2.020 -3.620 -3.412
10.827 -11.474 1.540
Ba O Zn Bi
7 2 1 2
direct
0.703 0.703 0.594
0.297 0.297 0.406
0.404 0.903 0.193
0.500 0.500 0.000
0.903 0.404 0.193
0.596 0.097 0.807
0.097 0.596 0.807
0.409 0.409 0.182
0.591 0.591 0.818
0.000 0.000 0.000
0.181 0.181 0.638
0.819 0.819 0.362


(6)
PBE Ba3Zn2BiO6, relaxed; Fermi-level density of states = 2.19 states/eV/f.u.
1.0
-0.557 -3.779 4.929
3.752 -1.572 -4.727
5.404 3.346 3.176
Ba O Zn Bi
3 6 2 1
direct
0.667 0.333 0.361
0.333 0.667 0.639
0.000 0.000 0.000
0.832 0.168 0.701
0.832 0.663 0.701
0.168 0.337 0.299
0.663 0.832 0.299
0.168 0.832 0.299
0.337 0.168 0.701
0.667 0.333 0.812
0.333 0.667 0.188
0.000 0.000 0.500


(7)
PBE Ba4ZnBi3O12, relaxed; Fermi-level density of states = 3.00 states/eV/f.u.
1.0
-7.047 1.322 -2.107
0.222 -1.131 7.384
4.268 5.880 -1.749
O Ba Zn Bi
12 4 1 3
direct
0.252 0.252 0.000
0.750 0.500 0.250
0.250 0.500 0.750
0.750 0.250 0.500
0.500 0.750 0.250
0.252 0.000 0.252
0.250 0.750 0.500
0.500 0.250 0.750
0.748 0.000 0.748
0.000 0.748 0.748
0.000 0.252 0.252
0.748 0.748 0.000
0.000 0.000 0.500
0.000 0.500 0.000
0.500 0.500 0.500
0.500 0.000 0.000
0.000 0.000 0.000
0.500 0.500 0.000
0.000 0.500 0.500
0.500 0.000 0.500


(8)
BaZnBi4O8 after structural relaxation. Source: the Alexandria database, functional PBE.

Geometry as POSCAR:
```
BaZnBi4O8
1.0
3.134 -5.428 0.000
3.134 5.428 0.000
0.000 0.000 7.461
Bi Zn O Ba
4 1 8 1
direct
0.333 0.667 0.718
0.667 0.333 0.282
0.333 0.667 0.282
0.667 0.333 0.718
0.000 0.000 0.500
0.277 0.277 0.696
0.723 0.000 0.696
0.723 0.723 0.304
0.000 0.723 0.696
0.667 0.333 0.000
0.000 0.277 0.304
0.333 0.667 0.000
0.277 0.000 0.304
0.000 0.000 0.000
```


Number 1: formation energy (no corrections) -48.87 kcal/mol of atoms. Number 2: formation energy (no corrections) -50.26 kcal/mol of atoms. Number 3: formation energy (no corrections) -46.84 kcal/mol of atoms. Number 4: formation energy (no corrections) -43.05 kcal/mol of atoms. Number 5: formation energy (no corrections) -28.16 kcal/mol of atoms. Number 6: formation energy (no corrections) -39.47 kcal/mol of atoms. Number 7: formation energy (no corrections) -40.66 kcal/mol of atoms. Number 8: formation energy (no corrections) -28.72 kcal/mol of atoms.